# 1
# CaAlZnHg, optimized geometry, DFT PBE
# Energy of formation from the pure elements in eV/atom: -0.2128
data_CaAlZnHg
_cell_length_a 6.971
_cell_length_b 6.971
_cell_length_c 6.971
_cell_angle_alpha 90.00
_cell_angle_beta 90.00
_cell_angle_gamma 90.00
_symmetry_space_group_name_H-M 'F -4 3 m'
_symmetry_Int_Tables_number 216
_symmetry_space_group_name_Hall 'F -4 2 3'
loop_
_atom_site_label
_atom_site_type_symbol
_atom_site_fract_x
_atom_site_fract_y
_atom_site_fract_z
Ca1 Ca 0.000 0.000 0.000
Al1 Al 0.000 0.000 0.500
Zn1 Zn 0.250 0.250 0.750
Hg1 Hg 0.250 0.250 0.250


# 2
# La12YHo6, optimized geometry, DFT PBE
# Energy of formation from the pure elements in eV/atom: 0.2244
data_La12YHo6
_cell_length_a 14.9942
_cell_length_b 14.9942
_cell_length_c 10.4683
_cell_angle_alpha 90.00
_cell_angle_beta 90.00
_cell_angle_gamma 120.00
_symmetry_space_group_name_H-M 'R -3'
_symmetry_Int_Tables_number 148
_symmetry_space_group_name_Hall '-R 3'
loop_
_atom_site_label
_atom_site_type_symbol
_atom_site_fract_x
_atom_site_fract_y
_atom_site_fract_z
La1 La 0.0432 0.7859 0.0740
La2 La 0.0665 0.8382 0.4220
Y1 Y 0.0000 0.0000 0.0000
Ho1 Ho 0.0484 0.8479 0.7600


# 3
# PmCuNiHg, optimized geometry, DFT PBE
# Energy of formation from the pure elements in eV/atom: -0.1516
data_PmCuNiHg
_cell_length_a 6.689
_cell_length_b 6.689
_cell_length_c 6.689
_cell_angle_alpha 90.00
_cell_angle_beta 90.00
_cell_angle_gamma 90.00
_symmetry_space_group_name_H-M 'F -4 3 m'
_symmetry_Int_Tables_number 216
_symmetry_space_group_name_Hall 'F -4 2 3'
loop_
_atom_site_label
_atom_site_type_symbol
_atom_site_fract_x
_atom_site_fract_y
_atom_site_fract_z
Pm1 Pm 0.000 0.000 0.000
Cu1 Cu 0.250 0.250 0.250
Ni1 Ni 0.250 0.250 0.750
Hg1 Hg 0.000 0.000 0.500


# 4
# CeZrPa2N4, optimized geometry, DFT PBE
# Formation energy (no corrections) in eV/atom: -1.62
data_CeZrPa2N4
_cell_length_a 5.956
_cell_length_b 3.457
_cell_length_c 6.022
_cell_angle_alpha 90.00
_cell_angle_beta 109.25
_cell_angle_gamma 90.00
_symmetry_space_group_name_H-M 'P 1 2/m 1'
_symmetry_Int_Tables_number 10
_symmetry_space_group_name_Hall '-P 2y'
loop_
_atom_site_label
_atom_site_type_symbol
_atom_site_fract_x
_atom_site_fract_y
_atom_site_fract_z
Ce1 Ce 0.000 0.000 0.000
Zr1 Zr 0.000 0.500 0.500
Pa1 Pa 0.500 0.000 0.500
Pa2 Pa 0.500 0.500 0.000
N1 N 0.245 0.000 0.734
N2 N 0.255 0.500 0.269


# 5
# SrSnS2N, optimized geometry, DFT PBE
# Energy relative to the lowest polymorph listed for this composition in eV per atom: 0.9292
# Formation energy (no corrections) in eV/atom: 0.57
data_SrSnS2N
_cell_length_a 5.561
_cell_length_b 5.561
_cell_length_c 4.748
_cell_angle_alpha 90.00
_cell_angle_beta 90.00
_cell_angle_gamma 90.00
_symmetry_space_group_name_H-M 'P 4/m m m'
_symmetry_Int_Tables_number 123
_symmetry_space_group_name_Hall '-P 4 2'
loop_
_atom_site_label
_atom_site_type_symbol
_atom_site_fract_x
_atom_site_fract_y
_atom_site_fract_z
Sr1 Sr 0.000 0.000 0.000
Sn1 Sn 0.500 0.500 0.500
S1 S 0.000 0.500 0.000
N1 N 0.000 0.000 0.500


# 6
# Tl2V2Ag, optimized geometry, DFT PBE
# Energy relative to the lowest polymorph listed for this composition in eV per atom: 0.0000
# Energy of formation from the pure elements in eV/atom: 0.5440
data_Tl2V2Ag
_cell_length_a 3.318
_cell_length_b 3.318
_cell_length_c 18.705
_cell_angle_alpha 90.00
_cell_angle_beta 90.00
_cell_angle_gamma 90.00
_symmetry_space_group_name_H-M 'I 4/m m m'
_symmetry_Int_Tables_number 139
_symmetry_space_group_name_Hall '-I 4 2'
loop_
_atom_site_label
_atom_site_type_symbol
_atom_site_fract_x
_atom_site_fract_y
_atom_site_fract_z
Tl1 Tl 0.000 0.000 0.112
V1 V 0.000 0.500 0.250
Ag1 Ag 0.000 0.000 0.500


# 7
# SrTl2Ir, optimized geometry, DFT PBE
# Energy of formation from the pure elements in eV/atom: 0.0107
data_SrTl2Ir
_cell_length_a 4.783
_cell_length_b 3.890
_cell_length_c 6.500
_cell_angle_alpha 90.00
_cell_angle_beta 111.19
_cell_angle_gamma 90.00
_symmetry_space_group_name_H-M 'P 1 m 1'
_symmetry_Int_Tables_number 6
_symmetry_space_group_name_Hall 'P -2y'
loop_
_atom_site_label
_atom_site_type_symbol
_atom_site_fract_x
_atom_site_fract_y
_atom_site_fract_z
Sr1 Sr 0.000 0.000 0.000
Tl1 Tl 0.318 0.500 0.634
Tl2 Tl 0.706 0.000 0.413
Ir1 Ir 0.542 0.500 0.085


# 8
# ZrOs2Rh, optimized geometry, DFT PBE
# Energy relative to the lowest polymorph listed for this composition in eV per atom: 0.0886
# Energy of formation from the pure elements in eV/atom: -0.1234
data_ZrOs2Rh
_cell_length_a 9.304
_cell_length_b 2.875
_cell_length_c 4.883
_cell_angle_alpha 90.00
_cell_angle_beta 100.67
_cell_angle_gamma 90.00
_symmetry_space_group_name_H-M 'C 1 m 1'
_symmetry_Int_Tables_number 8
_symmetry_space_group_name_Hall 'C -2y'
loop_
_atom_site_label
_atom_site_type_symbol
_atom_site_fract_x
_atom_site_fract_y
_atom_site_fract_z
Zr1 Zr 0.000 0.000 0.000
Os1 Os 0.003 0.500 0.518
Os2 Os 0.241 0.000 0.687
Rh1 Rh 0.257 0.500 0.236